{"formula": "BiHW2F", "functional": "PBE with a Hubbard U", "state": "optimized geometry", "lattice": [[4.7650, 0.0000, 0.0000], [0.0000, 4.7650, 0.0000], [0.0000, 0.0000, 4.2688]], "species": ["Bi", "H", "W", "W", "F"], "fractional_positions": [[0.0000, 0.0000, 0.0000], [0.5000, 0.5000, 0.0000], [0.0000, 0.5000, 0.5000], [0.5000, 0.0000, 0.5000], [0.5000, 0.5000, 0.5000]], "dft_energy_ev_per_cell": -19.51, "spacegroup": "P4/mmm"}